## AsRu3Au (PBEsol)

Data for an optimized crystal structure of AsRu3Au. Values from VASP.

The calculation puts the energy at -6.7762 eV per atom.

```
&SYSTEM
  ibrav = 0, nat = 5, ntyp = 3
/
ATOMIC_SPECIES
Ru 101.07 Ru.upf
As 74.92 As.upf
Au 196.97 Au.upf
CELL_PARAMETERS angstrom
-0.929 4.179 1.213
-3.329 0.116 -2.949
-2.802 -1.523 3.103
ATOMIC_POSITIONS crystal
Ru 0.000 0.000 0.500
Ru 0.500 0.000 0.000
Ru 0.000 0.500 0.000
As 0.000 0.000 0.000
Au 0.500 0.500 0.500
```